Ce2GeAs3Pt4: relaxed, PBE. Values from VASP.

```
&SYSTEM
  ibrav = 0, nat = 10, ntyp = 4
/
ATOMIC_SPECIES
Ce 140.12 Ce.upf
Ge 72.64 Ge.upf
As 74.92 As.upf
Pt 195.08 Pt.upf
CELL_PARAMETERS angstrom
4.442 0.000 0.000
0.000 4.442 0.000
0.000 0.000 9.925
ATOMIC_POSITIONS angstrom
Ce 0.000 2.221 2.468
Ce 2.221 0.000 7.458
Ge 0.000 0.000 4.963
As 0.000 2.221 8.619
As 2.221 0.000 1.306
As 2.221 2.221 4.963
Pt 0.000 0.000 0.000
Pt 0.000 2.221 6.167
Pt 2.221 0.000 3.758
Pt 2.221 2.221 0.000
```

## Properties
DOS(E_F): 1.30 states/eV/atom
E_form: -0.863 eV per atom
SG: P-4m2, No. 115
Calculated volume: 19.58 Å³/atom
Uncorrected energy: -6.323 eV/atom